Zn4Ag5Hg | Alexandria | GGA-PBE | relaxed; theoretical density = 9.82 g/cm³; calculated formation energy = -0.004 eV per atom; crystal system = tetragonal
1.0
3.2471 0.0000 0.0000
0.0000 3.2471 0.0000
0.0000 0.0000 16.0679
Zn Ag Hg
4 5 1
Cartesian
0.0000 0.0000 1.5332
0.0000 0.0000 4.5873
0.0000 0.0000 11.4806
0.0000 0.0000 14.5347
1.6236 1.6236 0.0000
1.6236 1.6236 3.0656
1.6236 1.6236 6.0919
1.6236 1.6236 9.9760
1.6236 1.6236 13.0022
0.0000 0.0000 8.0339

***

LiNdEuGd | Alexandria | GGA-PBE | relaxed; theoretical density = 5.86 g/cm³; calculated formation energy = 0.206 eV per atom; crystal system = cubic
1.0
8.0506 0.0000 0.0000
0.0000 8.0506 0.0000
0.0000 0.0000 8.0506
Li Nd Eu Gd
4 4 4 4
Cartesian
0.0000 0.0000 0.0000
0.0000 4.0253 4.0253
4.0253 0.0000 4.0253
4.0253 4.0253 0.0000
2.0127 2.0127 6.0380
2.0127 6.0380 2.0127
6.0380 2.0127 2.0127
6.0380 6.0380 6.0380
2.0127 2.0127 2.0127
2.0127 6.0380 6.0380
6.0380 2.0127 6.0380
6.0380 6.0380 2.0127
0.0000 0.0000 4.0253
0.0000 4.0253 0.0000
4.0253 0.0000 0.0000
4.0253 4.0253 4.0253

***

SrHgPd3 | Alexandria | GGA-PBE | relaxed; theoretical density = 7.58 g/cm³; calculated formation energy = 0.100 eV per atom; energy above the lowest structure with this stoichiometry = 0.511 eV per atom; crystal system = cubic
1.0
5.1064 0.0000 0.0000
0.0000 5.1064 0.0000
0.0000 0.0000 5.1064
Sr Hg Pd
1 1 3
Cartesian
0.0000 0.0000 0.0000
2.5532 2.5532 2.5532
0.0000 2.5532 2.5532
2.5532 0.0000 2.5532
2.5532 2.5532 0.0000

***

CePm4Pr | Alexandria | GGA-PBE | relaxed; theoretical density = 6.72 g/cm³; calculated formation energy = 0.317 eV per atom; energy above the lowest structure with this stoichiometry = 0.106 eV per atom; crystal system = cubic
1.0
0.0000 4.7379 4.7379
4.7379 0.0000 4.7379
4.7379 4.7379 0.0000
Ce Pm Pr
1 4 1
Cartesian
0.0000 0.0000 0.0000
3.5530 3.5530 3.5530
5.9228 5.9228 3.5530
5.9228 3.5530 5.9228
3.5530 5.9228 5.9228
7.1069 7.1069 7.1069

***

RbAuSe3 | Alexandria | GGA-PBE | relaxed; uncorrected formation energy = -0.36 eV per formula unit; theoretical density = 5.95 g/cm³; crystal system = cubic
1.0
5.2516 0.0000 0.0000
0.0000 5.2516 0.0000
0.0000 0.0000 5.2516
Rb Au Se
1 1 3
Cartesian
0.0000 0.0000 0.0000
2.6258 2.6258 2.6258
0.0000 2.6258 2.6258
2.6258 0.0000 2.6258
2.6258 2.6258 0.0000

***

Ga2AsRh5 | Alexandria | GGA-PBE | relaxed; theoretical density = 10.55 g/cm³; calculated formation energy = -0.525 eV per atom; crystal system = orthorhombic
1.0
5.4917 0.0000 0.0000
0.0000 10.2750 0.0000
0.0000 0.0000 4.0665
Ga As Rh
4 2 10
Cartesian
0.6395 1.5283 0.0000
2.1063 6.6658 0.0000
3.3853 3.6092 0.0000
4.8522 8.7467 0.0000
0.0000 5.1375 2.0332
2.7458 0.0000 2.0332
0.0000 0.0000 2.0332
0.7476 7.4508 2.0332
0.9225 4.0760 0.0000
1.8234 9.2135 0.0000
1.9982 2.3133 2.0332
2.7458 5.1375 2.0332
3.4934 7.9617 2.0332
3.6683 1.0614 0.0000
4.5692 6.1989 0.0000
4.7441 2.8242 2.0332

***

KIr | Alexandria | GGA-PBE | relaxed; theoretical density = 8.49 g/cm³; calculated formation energy = 0.964 eV per atom; energy above the lowest structure with this stoichiometry = 0.599 eV per atom; crystal system = trigonal
1.0
2.9734 0.0000 0.0000
-1.4867 2.5750 0.0000
0.0000 0.0000 11.8181
K Ir
2 2
Cartesian
0.0000 1.7167 2.1259
1.4867 0.8583 9.6922
0.0000 1.7167 6.9159
1.4867 0.8583 4.9022

***

TlCd2W | Alexandria | GGA-PBE | relaxed; theoretical density = 12.34 g/cm³; calculated formation energy = 0.748 eV per atom; energy above the lowest structure with this stoichiometry = 0.214 eV per atom; crystal system = orthorhombic
1.0
3.0177 0.0000 0.0000
0.0000 4.4277 0.0000
0.0000 0.0000 6.1716
Tl Cd W
1 2 1
Cartesian
0.0000 0.0000 0.0000
0.0000 0.0000 2.9064
1.5088 2.2139 4.3933
1.5088 2.2139 1.4207

***

Li3YSc4Se8 | Alexandria | GGA-PBE | relaxed; uncorrected formation energy = -26.23 eV per formula unit; theoretical density = 4.52 g/cm³; crystal system = trigonal
1.0
3.8854 2.2432 6.4751
-3.8854 2.2432 6.4751
0.0000 -4.4864 6.4751
Li Y Sc Se
3 1 4 8
Cartesian
-1.9427 -1.1216 6.4751
-1.9427 1.1216 12.9502
0.0000 2.2432 6.4751
0.0000 0.0000 0.0000
-3.8854 0.0000 9.7127
-1.9427 1.1216 3.2375
1.9427 1.1216 3.2376
0.0000 0.0000 9.7127
0.0000 0.0000 4.8031
-1.9049 -1.0998 11.2920
0.0000 -2.1995 8.1333
-1.9049 1.0998 8.1333
1.9048 -1.0998 11.2920
0.0000 2.1995 11.2920
1.9048 1.0998 8.1333
0.0000 0.0000 14.6222

***

CoAgIr | Alexandria | GGA-PBE | relaxed; theoretical density = 13.58 g/cm³; calculated formation energy = 0.240 eV per atom; energy above the lowest structure with this stoichiometry = 0.000 eV per atom; crystal system = trigonal
1.0
2.7370 0.0000 0.0000
-1.3685 2.3703 0.0000
0.0000 0.0000 6.7646
Co Ag Ir
1 1 1
Cartesian
0.0000 0.0000 0.0000
0.0000 1.5802 4.4753
1.3685 0.7901 1.9876

***

Er2ZnRh2 | Alexandria | GGA-PBE | relaxed; theoretical density = 10.18 g/cm³; calculated formation energy = -0.791 eV per atom; crystal system = monoclinic
1.0
5.0645 -2.6621 0.0000
5.0645 2.6621 0.0000
-2.2205 0.0000 7.3274
Er Zn Rh
4 2 4
Cartesian
1.6989 1.8659 6.2308
5.0993 1.8659 4.7602
2.8091 -1.8659 2.5671
6.2096 -1.8659 1.0965
4.5094 0.8191 1.8318
3.3991 -0.8191 5.4955
2.6323 0.7785 3.5838
6.3864 0.7785 0.0799
1.5221 -0.7785 7.2475
5.2761 -0.7785 3.7436

***

Zn2Pd7Au2 | Alexandria | GGA-PBE | relaxed; theoretical density = 11.94 g/cm³; calculated formation energy = -0.177 eV per atom; energy above the lowest structure with this stoichiometry = 0.000 eV per atom; crystal system = orthorhombic
1.0
-2.2123 5.7135 3.4919
2.2123 -5.7135 3.4919
2.2123 5.7135 -3.4919
Zn Pd Au
2 7 2
Cartesian
0.0000 0.0000 0.0000
0.0000 5.7135 1.2138
2.2123 1.4995 -0.1643
2.2123 -1.5750 2.7014
0.0000 0.0000 2.6574
2.2123 1.5750 2.7014
2.2123 4.1350 1.3899
0.0000 1.5785 4.8819
0.0000 4.2139 3.3276
0.0000 2.3808 1.2517
0.0000 9.0462 1.2517

***

Sm5Co2Ru | Alexandria | GGA-PBE | relaxed; theoretical density = 8.48 g/cm³; calculated formation energy = -0.160 eV per atom; crystal system = tetragonal
1.0
-3.6350 3.6350 7.1940
3.6350 -3.6350 7.1940
3.6350 3.6350 -7.1940
Sm Co Ru
10 4 2
Cartesian
0.0000 0.0000 0.0000
4.9356 1.3006 -2.0468
1.3006 2.3344 -2.0468
4.9356 1.3006 2.0468
1.3006 2.3344 2.0468
0.0000 0.0000 7.1940
2.3344 1.3006 5.1473
-1.3006 2.3344 5.1473
2.3344 1.3006 9.2408
-1.3006 2.3344 9.2408
2.8322 0.8028 0.0000
2.8322 -0.8028 7.1940
0.8028 4.4378 0.0000
0.8028 2.8322 7.1940
0.0000 0.0000 3.5970
0.0000 0.0000 10.7910

***

Hg2S6Br | Alexandria | GGA-PBE | relaxed; uncorrected formation energy = 2.38 eV per formula unit; theoretical density = 4.63 g/cm³; crystal system = triclinic
1.0
3.0673 0.0000 0.0000
1.0081 8.2406 0.0000
1.1390 2.2781 9.5648
Hg S Br
2 6 1
Cartesian
0.7165 2.4080 1.9578
4.4978 8.1108 7.6070
1.8544 3.5216 7.4509
1.8403 5.3495 4.0496
1.8272 6.3895 0.7246
3.3871 4.1292 8.8402
3.3741 5.1692 5.5151
3.3599 6.9971 2.1139
0.5695 1.1391 4.7824

***

Zn5Ag2Pd | Alexandria | GGA-PBE | relaxed; theoretical density = 8.78 g/cm³; calculated formation energy = -0.179 eV per atom; crystal system = tetragonal
1.0
3.9891 0.0000 0.0000
0.0000 3.9891 0.0000
0.0000 0.0000 15.4236
Zn Ag Pd
10 4 2
Cartesian
0.0000 0.0000 0.0000
0.0000 1.9945 1.8441
0.0000 1.9945 5.8677
0.0000 1.9945 9.5559
0.0000 1.9945 13.5795
1.9945 0.0000 1.8441
1.9945 0.0000 5.8677
1.9945 0.0000 9.5559
1.9945 0.0000 13.5795
1.9945 1.9945 7.7118
0.0000 0.0000 3.8874
0.0000 0.0000 11.5361
1.9945 1.9945 3.8243
1.9945 1.9945 11.5992
0.0000 0.0000 7.7118
1.9945 1.9945 0.0000

***

KNaZnSe2 | Alexandria | GGA-PBE | relaxed; uncorrected formation energy = -3.52 eV per formula unit; theoretical density = 3.46 g/cm³; crystal system = orthorhombic
1.0
5.4501 0.0000 0.0000
0.0000 7.8248 0.0000
0.0000 0.0000 6.4258
K Na Zn Se
2 2 2 4
Cartesian
1.3625 0.0000 1.4001
4.0876 0.0000 5.0257
1.3625 3.9124 2.7454
4.0876 3.9124 3.6804
0.0000 3.9124 0.0000
2.7250 3.9124 0.0000
1.3625 2.1427 5.0747
1.3625 5.6821 5.0747
4.0876 2.1427 1.3511
4.0876 5.6821 1.3511

***

Nd3AgPt | Alexandria | GGA-PBE | relaxed; theoretical density = 8.67 g/cm³; calculated formation energy = -0.522 eV per atom; energy above the lowest structure with this stoichiometry = 0.000 eV per atom; crystal system = triclinic
1.0
5.8081 0.0000 0.0000
-2.5421 6.1555 0.0000
-1.7762 -2.2011 7.8826
Nd Ag Pt
6 2 2
Cartesian
-0.7207 0.5184 2.5071
-0.5473 4.7532 0.9571
-0.6783 1.1570 5.9064
2.1681 2.7975 1.9762
2.0371 -0.7987 6.9255
2.2105 3.4361 5.3755
-0.7334 3.6123 3.8488
2.2233 0.3422 4.0338
-0.9114 -1.0004 7.8273
2.4013 4.9549 0.0553

***

Sr3TaSe | Alexandria | GGA-PBE | relaxed; uncorrected formation energy = 3.65 eV per formula unit; theoretical density = 4.58 g/cm³; energy above the lowest structure with this stoichiometry = 0.526 eV per atom; crystal system = cubic
1.0
5.7431 0.0000 0.0000
0.0000 5.7431 0.0000
0.0000 0.0000 5.7431
Sr Ta Se
3 1 1
Cartesian
0.0000 0.0000 2.8716
0.0000 2.8716 0.0000
2.8716 0.0000 0.0000
0.0000 0.0000 0.0000
2.8716 2.8716 2.8716

***

Sr4Zn3Hg | Alexandria | GGA-PBE | relaxed; theoretical density = 5.11 g/cm³; calculated formation energy = -0.263 eV per atom; energy above the lowest structure with this stoichiometry = 0.008 eV per atom; crystal system = tetragonal
1.0
3.9317 0.0000 0.0000
0.0000 3.9317 0.0000
0.0000 0.0000 15.7221
Sr Zn Hg
4 3 1
Cartesian
0.0000 0.0000 1.9382
0.0000 0.0000 5.8284
0.0000 0.0000 9.8937
0.0000 0.0000 13.7839
1.9659 1.9659 0.0000
1.9659 1.9659 3.8604
1.9659 1.9659 11.8616
1.9659 1.9659 7.8610

***

Si2BI | Alexandria | GGA-PBE | relaxed; uncorrected formation energy = 2.05 eV per formula unit; theoretical density = 3.54 g/cm³; energy above the lowest structure with this stoichiometry = 0.097 eV per atom; crystal system = triclinic
1.0
3.3834 0.0000 0.0000
1.6729 3.8058 0.0000
1.6464 1.4219 7.0608
Si B I
2 1 1
Cartesian
0.0000 0.0000 0.0000
3.3342 3.0836 6.0519
1.6920 0.6775 0.8255
1.6876 1.3821 2.8885

***

CdFeHg2 | Alexandria | GGA-PBE | relaxed; theoretical density = 11.97 g/cm³; calculated formation energy = 0.464 eV per atom; crystal system = cubic
1.0
6.8113 0.0000 0.0000
0.0000 6.8113 0.0000
0.0000 0.0000 6.8113
Cd Fe Hg
4 4 8
Cartesian
0.0000 0.0000 0.0000
0.0000 3.4056 3.4056
3.4056 0.0000 3.4056
3.4056 3.4056 0.0000
1.7028 1.7028 5.1085
1.7028 5.1085 1.7028
5.1085 1.7028 1.7028
5.1085 5.1085 5.1085
0.0000 0.0000 3.4056
0.0000 3.4056 0.0000
1.7028 1.7028 1.7028
1.7028 5.1085 5.1085
3.4056 0.0000 0.0000
3.4056 3.4056 3.4056
5.1085 1.7028 5.1085
5.1085 5.1085 1.7028

***

Hf4Zn3Ir | Alexandria | GGA-PBE | relaxed; theoretical density = 12.76 g/cm³; calculated formation energy = -0.388 eV per atom; crystal system = orthorhombic
1.0
3.3658 0.0000 0.0000
0.0000 4.6399 0.0000
0.0000 0.0000 9.1883
Hf Zn Ir
4 3 1
Cartesian
0.0000 0.0000 0.0000
0.0000 0.0000 4.5942
0.0000 2.3199 2.2395
0.0000 2.3199 6.9488
1.6829 0.0000 2.3417
1.6829 0.0000 6.8467
1.6829 2.3199 4.5942
1.6829 2.3199 0.0000

***

ReGeF | Alexandria | GGA-PBE | relaxed; uncorrected formation energy = -2.63 eV per formula unit; theoretical density = 9.53 g/cm³; crystal system = tetragonal
1.0
2.9742 0.0000 0.0000
0.0000 2.9742 0.0000
0.0000 0.0000 10.9465
Re Ge F
2 2 2
Cartesian
0.7436 0.7436 0.8592
2.2307 2.2307 10.0873
0.7436 0.7436 8.5189
2.2307 2.2307 2.4276
0.7436 0.7436 6.7812
2.2307 2.2307 4.1653

***

LaTbSm | Alexandria | GGA-PBE | relaxed; theoretical density = 7.24 g/cm³; calculated formation energy = 0.018 eV per atom; energy above the lowest structure with this stoichiometry = 0.000 eV per atom; crystal system = trigonal
1.0
3.6460 0.0000 0.0000
-1.8230 3.1576 0.0000
0.0000 0.0000 8.9247
La Tb Sm
1 1 1
Cartesian
0.0000 0.0000 0.0000
0.0000 2.1050 5.9397
1.8230 1.0525 3.0509

***

ErGaFe2C | Alexandria | GGA-PBE | relaxed; theoretical density = 8.65 g/cm³; calculated formation energy = -0.298 eV per atom; crystal system = orthorhombic
1.0
1.8432 -5.2727 0.0000
1.8432 5.2727 0.0000
0.0000 0.0000 7.1229
Er Ga Fe C
2 2 4 2
Cartesian
1.8432 4.8224 5.3422
1.8432 -4.8224 1.7807
1.8432 2.7949 1.7807
1.8432 -2.7949 5.3422
1.8432 1.7375 3.9635
1.8432 1.7375 6.7208
1.8432 -1.7375 0.4021
1.8432 -1.7375 3.1594
1.8432 0.0000 0.0000
1.8432 0.0000 3.5615